Density functional theory data (PBE) for BaIn12Ni6 after structural relaxation.

```
data_BaIn12Ni6
_cell_length_a 12.2614
_cell_length_b 12.2614
_cell_length_c 9.3347
_cell_angle_alpha 90.00
_cell_angle_beta 90.00
_cell_angle_gamma 120.00
_symmetry_space_group_name_H-M 'R -3 m'
_symmetry_Int_Tables_number 166
_symmetry_space_group_name_Hall '-R 3 2"'
loop_
_atom_site_label
_atom_site_type_symbol
_atom_site_fract_x
_atom_site_fract_y
_atom_site_fract_z
Ba1 Ba 0.0000 0.0000 0.0000
In1 In 0.0000 0.3758 0.5000
In2 In 0.0877 0.1753 0.3452
Ni1 Ni 0.0507 0.5254 0.2683
```

N(E_F): 21.01 states/eV/cell
ΔE_f: -134 meV per atom
total moment: 0.00 Bohr magnetons per cell